Below is BaN2 at its PBEsol-relaxed geometry, with properties calculated at the SCAN level.

Properties
symmetry: C2/c, No. 15
final energy: -20.029 eV/atom
crystal system: monoclinic
E_form (uncorrected): -0.65 eV/atom

Unit cell a=4.1794 b=4.1794 c=7.2177 alpha=77.43 beta=77.43 gamma=63.23
Element x y z (fractional)
N 0.1521 0.4427 0.9545
N 0.5573 0.8479 0.5455
N 0.8479 0.5573 0.0455
N 0.4427 0.1521 0.4545
Ba 0.7965 0.2035 0.7500
Ba 0.2035 0.7965 0.2500

***

Below is KCoTe2N at its PBEsol-relaxed geometry, with properties calculated at the SCAN level.

Properties
symmetry: P4/mmm, No. 123
final energy: -21.887 eV/atom
crystal system: tetragonal
E_form (uncorrected): 0.00 eV/atom

Unit cell a=3.3703 b=5.6429 c=5.6429 alpha=90.00 beta=90.00 gamma=90.00
Element x y z (fractional)
K 0.5000 0.5000 0.5000
Te 0.0000 0.5000 0.0000
Te 0.0000 0.0000 0.5000
N 0.5000 0.0000 0.0000
Co 0.0000 0.0000 0.0000

***

Below is SnPRuS2 at its PBEsol-relaxed geometry, with properties calculated at the SCAN level.

Properties
symmetry: P4/mmm, No. 123
final energy: -19.771 eV/atom
crystal system: tetragonal
E_form (uncorrected): 0.31 eV/atom

Unit cell a=4.3337 b=4.7700 c=4.7700 alpha=90.00 beta=90.00 gamma=90.00
Element x y z (fractional)
P 0.5000 0.0000 0.0000
Sn 0.5000 0.5000 0.5000
S 0.0000 0.0000 0.5000
S 0.0000 0.5000 0.0000
Ru 0.0000 0.0000 0.0000

***

Below is Li4Mn3Fe3W2O16 at its PBEsol-relaxed geometry, with properties calculated at the SCAN level.

Properties
symmetry: P1, No. 1
final energy: -14.861 eV/atom
crystal system: triclinic
E_form (uncorrected): -2.08 eV/atom

Unit cell a=5.7402 b=5.8403 c=9.6388 alpha=88.27 beta=90.79 gamma=61.04
Element x y z (fractional)
Fe 0.1730 0.6555 0.7115
Fe 0.8248 0.8306 0.2195
Fe 0.3438 0.8360 0.2174
Mn 0.8259 0.3437 0.2097
Mn 0.6624 0.1739 0.7157
Mn 0.1664 0.1723 0.7151
O 0.3597 0.7816 0.5961
O 0.3318 0.3352 0.6153
O 0.8659 0.7732 0.5915
O 0.9955 0.0131 0.3006
O 0.4649 0.5074 0.8458
O 0.8430 0.3105 0.5928
O 0.0088 0.9852 0.8005
O 0.4775 0.0542 0.8409
O 0.5069 0.5207 0.3538
O 0.6651 0.6671 0.1081
O 0.9575 0.5031 0.3466
O 0.1691 0.6617 0.0920
O 0.6611 0.1902 0.0832
O 0.5190 0.9679 0.3616
O 0.0330 0.5065 0.8455
O 0.1780 0.1730 0.0782
Li 0.0048 0.9827 0.4897
Li 0.6582 0.6879 0.9034
Li 0.3241 0.3365 0.4108
Li 0.9997 0.0012 0.9881
W 0.6600 0.6650 0.4865
W 0.3204 0.3642 0.9878

***

Below is SrIr at its PBEsol-relaxed geometry, with properties calculated at the SCAN level.

Properties
symmetry: P-3m1, No. 164
final energy: -46.700 eV/atom
crystal system: trigonal

Unit cell a=4.0416 b=4.0416 c=8.9620 alpha=90.00 beta=90.00 gamma=120.00
Element x y z (fractional)
Sr 0.3333 0.6667 0.7076
Sr 0.6667 0.3333 0.2924
Ir 0.6667 0.3333 0.9648
Ir 0.3333 0.6667 0.0352

***

Below is Pr12InPt7 at its PBEsol-relaxed geometry, with properties calculated at the SCAN level.

Properties
symmetry: I4/mcm, No. 140
final energy: -53.303 eV/atom
crystal system: tetragonal

Unit cell a=11.1461 b=11.1461 c=11.1461 alpha=99.09 beta=114.90 gamma=114.90
Element x y z (fractional)
Pr 0.1373 0.8509 0.5715
Pr 0.7206 0.9343 0.0715
Pr 0.5000 0.3629 0.8629
Pr 0.2794 0.0657 0.9285
Pr 0.5000 0.8235 0.6765
Pr 0.1471 0.3235 0.8235
Pr 0.5000 0.1371 0.6371
Pr 0.5000 0.1765 0.3235
Pr 0.5000 0.6371 0.1371
Pr 0.8627 0.1491 0.4285
Pr 0.7206 0.2864 0.1491
Pr 0.8529 0.6765 0.1765
Pr 0.1373 0.7864 0.0657
Pr 0.1373 0.0715 0.3509
Pr 0.2794 0.4285 0.5657
Pr 0.8627 0.9285 0.6491
Pr 0.7206 0.6491 0.7864
Pr 0.7206 0.5715 0.4343
Pr 0.2794 0.7136 0.8509
Pr 0.8627 0.2136 0.9343
Pr 0.1373 0.5657 0.2864
Pr 0.2794 0.3509 0.2136
Pr 0.5000 0.8629 0.3629
Pr 0.8627 0.4343 0.7136
Pt 0.5000 0.9797 0.1283
Pt 0.0000 0.2500 0.2500
Pt 0.5000 0.6283 0.4797
Pt 0.8514 0.8717 0.3717
Pt 0.2492 0.8746 0.3746
Pt 0.1486 0.1283 0.6283
Pt 0.5000 0.3746 0.1254
Pt 0.8514 0.4797 0.9797
Pt 0.0000 0.7500 0.7500
Pt 0.5000 0.3717 0.5203
Pt 0.5000 0.6254 0.8746
Pt 0.7508 0.1254 0.6254
Pt 0.5000 0.0203 0.8717
Pt 0.1486 0.5203 0.0203
In 0.0000 0.0000 0.0000
In 0.0000 0.5000 0.5000

***

Below is ZrNi3Sb at its PBEsol-relaxed geometry, with properties calculated at the SCAN level.

Properties
symmetry: Pm-3m, No. 221
final energy: -22.705 eV/atom
crystal system: cubic
E_form (uncorrected): 0.59 eV/atom

Unit cell a=4.4875 b=4.4875 c=4.4875 alpha=90.00 beta=90.00 gamma=90.00
Element x y z (fractional)
Ni 0.5000 0.0000 0.0000
Ni 0.0000 0.0000 0.5000
Ni 0.0000 0.5000 0.0000
Zr 0.5000 0.5000 0.5000
Sb 0.0000 0.0000 0.0000

***

Below is AlTc2Ag at its PBEsol-relaxed geometry, with properties calculated at the SCAN level.

Properties
symmetry: P4/mmm, No. 123
final energy: -27.026 eV/atom
crystal system: tetragonal

Unit cell a=2.7617 b=4.5906 c=4.5906 alpha=90.00 beta=90.00 gamma=90.00
Element x y z (fractional)
Ag 0.5000 0.5000 0.5000
Al 0.5000 0.0000 0.0000
Tc 0.0000 0.5000 0.0000
Tc 0.0000 0.0000 0.5000

***

Copy entry 8 word for word.
Below is AlTc2Ag at its PBEsol-relaxed geometry, with properties calculated at the SCAN level.

Properties
symmetry: P4/mmm, No. 123
final energy: -27.026 eV/atom
crystal system: tetragonal

Unit cell a=2.7617 b=4.5906 c=4.5906 alpha=90.00 beta=90.00 gamma=90.00
Element x y z (fractional)
Ag 0.5000 0.5000 0.5000
Al 0.5000 0.0000 0.0000
Tc 0.0000 0.5000 0.0000
Tc 0.0000 0.0000 0.5000